First-principles (GGA-PBEsol) data for Sr4TlFe2O9 after structural relaxation, as listed in Alexandria via LeMat-Bulk.

Results
The calculation puts the size of the total moment at 7.03 μB per cell. The calculation puts the formation energy without anion corrections at -33.20 eV per formula unit.

Structure (CIF):
```
data_Sr4TlFe2O9
_chemical_formula_sum 'Sr4 Tl1 Fe2 O9'
_cell_length_a 3.777
_cell_length_b 3.777
_cell_length_c 15.117
_cell_angle_alpha 97.16
_cell_angle_beta 97.16
_cell_angle_gamma 90.14
_space_group_name_H-M_alt 'P 1'
_space_group_IT_number 1
loop_
_space_group_symop_operation_xyz
'x,y,z'
loop_
_atom_site_label
_atom_site_type_symbol
_atom_site_fract_x
_atom_site_fract_y
_atom_site_fract_z
O1 O 0.854 0.354 0.708
O2 O 0.146 0.646 0.292
O3 O 0.789 0.789 0.578
O4 O 0.919 0.917 0.836
O5 O 0.354 0.854 0.708
O6 O 0.211 0.211 0.422
O7 O 0.646 0.146 0.292
O8 O 0.083 0.081 0.164
O9 O 0.536 0.464 0.000
Fe1 Fe 0.147 0.146 0.293
Fe2 Fe 0.854 0.853 0.707
Sr1 Sr 0.585 0.584 0.169
Sr2 Sr 0.416 0.415 0.831
Sr3 Sr 0.295 0.295 0.590
Sr4 Sr 0.705 0.705 0.410
Tl1 Tl 0.989 0.011 0.000
```